## i
# GdReAsO

A geometry-optimized GdReAsO structure (PBE-GGA, OQMD via LeMat-Bulk).

## Properties
Crystal system: tetragonal

Cell lengths 4.3042, 4.3042, 6.9283 Å; angles 90.00, 90.00, 90.00 degrees
With the nearest neighbours (Å) after each atom.
Space group P4/nmm (No. 129, origin choice 2)
Symmetry-distinct sites (fractional):
Gd 0.2500 0.7500 0.0000 (multiplicity 2)  4 As 2.90, 4 Gd 3.04
Re 0.2500 0.2500 0.3658 (multiplicity 2)  4 O 2.34, 1 As 2.45
As 0.2500 0.2500 0.7193 (multiplicity 2)  1 Re 2.45, 4 O 2.63
O 0.2500 0.7500 0.5000 (multiplicity 2)  4 Re 2.34


## ii
# GdReAsO

A geometry-optimized GdReAsO structure (PBE-GGA, OQMD via LeMat-Bulk).

## Properties
Crystal system: orthorhombic

Cell lengths 4.0144, 4.4057, 7.4839 Å; angles 90.00, 90.00, 90.00 degrees
With the nearest neighbours (Å) after each atom.
Space group Pmc2_1 (No. 26)
Symmetry-distinct sites (fractional):
Gd 0.0000 0.2386 0.0000 (multiplicity 2)  3 O 2.50-2.55
Re 0.5000 0.2680 0.3354 (multiplicity 2)  2 O 2.01
As 0.5000 0.2344 0.6713 (multiplicity 2)  3 Re 2.51-2.53
O 0.0000 0.2688 0.3351 (multiplicity 2)  2 Re 2.01


Short version: ii, i, most stable first.


## i
# GdReAsO

A geometry-optimized GdReAsO structure (PBE-GGA, OQMD via LeMat-Bulk).

## Properties
Crystal system: tetragonal

Cell lengths 3.9698, 3.9698, 8.5798 Å; angles 90.00, 90.00, 90.00 degrees
With the nearest neighbours (Å) after each atom.
Space group P4/nmm (No. 129, origin choice 2)
Symmetry-distinct sites (fractional):
Gd 0.2500 0.2500 0.1303 (multiplicity 2)  4 O 2.28
Re 0.2500 0.7500 0.5000 (multiplicity 2)  4 As 2.52, 4 Re 2.81
As 0.2500 0.2500 0.6814 (multiplicity 2)  4 Re 2.52
O 0.2500 0.7500 0.0000 (multiplicity 2)  4 Gd 2.28


## ii
# GdReAsO

A geometry-optimized GdReAsO structure (PBE-GGA, OQMD via LeMat-Bulk).

## Properties
Crystal system: orthorhombic

Cell lengths 4.1266, 6.2510, 5.6447 Å; angles 90.00, 90.00, 90.00 degrees
With the nearest neighbours (Å) after each atom.
Space group Pmc2_1 (No. 26)
Symmetry-distinct sites (fractional):
Gd 0.0000 0.1739 0.0000 (multiplicity 2)  2 O 2.17
Re 0.5000 0.4593 0.7662 (multiplicity 2)  2 O 2.08-2.11
As 0.0000 0.3191 0.5121 (multiplicity 2)  4 Re 2.66-2.85, 1 Gd 2.90
O 0.5000 0.2597 0.0677 (multiplicity 2)  2 Re 2.08-2.11, 2 Gd 2.17


Short version: i, ii, most stable first.


## i
# SrGdAsO

A geometry-optimized SrGdAsO structure (PBE-GGA, OQMD via LeMat-Bulk).

## Properties
Crystal system: tetragonal

Cell lengths 4.4200, 4.4200, 9.2985 Å; angles 90.00, 90.00, 90.00 degrees
With the nearest neighbours (Å) after each atom.
Space group P4/nmm (No. 129, origin choice 2)
Symmetry-distinct sites (fractional):
Sr 0.2500 0.7500 0.0000 (multiplicity 2)  4 As 3.01, 4 Sr 3.13
Gd 0.2500 0.2500 0.4104 (multiplicity 2)  4 O 2.36
As 0.2500 0.2500 0.7808 (multiplicity 2)  4 Sr 3.01
O 0.2500 0.7500 0.5000 (multiplicity 2)  4 Gd 2.36


## ii
# SrGdAsO

A geometry-optimized SrGdAsO structure (PBE-GGA, OQMD via LeMat-Bulk).

## Properties
Crystal system: orthorhombic

Cell lengths 4.2945, 7.0204, 6.7466 Å; angles 90.00, 90.00, 90.00 degrees
With the nearest neighbours (Å) after each atom.
Space group Pmc2_1 (No. 26)
Symmetry-distinct sites (fractional):
Sr 0.0000 0.1390 0.0000 (multiplicity 2)  2 O 2.40
Gd 0.5000 0.4758 0.6964 (multiplicity 2)  2 O 2.24-2.28
As 0.0000 0.3046 0.4455 (multiplicity 2)  4 Gd 2.99-3.13, 2 Sr 3.14-3.22
O 0.5000 0.2876 0.9642 (multiplicity 2)  2 Gd 2.24-2.28, 2 Sr 2.40


Short version: ii, i, most stable first.


## i
# SrGdAsO

A geometry-optimized SrGdAsO structure (PBE-GGA, OQMD via LeMat-Bulk).

## Properties
Crystal system: tetragonal

Cell lengths 3.9500, 3.9500, 5.7850 Å; angles 90.00, 90.00, 90.00 degrees
With the nearest neighbours (Å) after each atom.
Space group P4/mmm (No. 123)
Symmetry-distinct sites (fractional):
Sr 0.0000 0.0000 0.0000 (multiplicity 1)  4 O 2.79, 2 As 2.89
Gd 0.5000 0.5000 0.5000 (multiplicity 1)  4 As 2.79, 2 O 2.89
As 0.0000 0.0000 0.5000 (multiplicity 1)  4 Gd 2.79, 2 Sr 2.89
O 0.5000 0.5000 0.0000 (multiplicity 1)  4 Sr 2.79, 2 Gd 2.89


## ii
# SrGdAsO

A geometry-optimized SrGdAsO structure (PBE-GGA, OQMD via LeMat-Bulk).

## Properties
Crystal system: orthorhombic

Cell lengths 4.1405, 6.8168, 7.1169 Å; angles 90.00, 90.00, 90.00 degrees
With the nearest neighbours (Å) after each atom.
Space group Pmc2_1 (No. 26)
Symmetry-distinct sites (fractional):
Sr 0.0000 0.0463 0.0000 (multiplicity 2)  2 O 2.45-2.58
Gd 0.5000 0.3690 0.3410 (multiplicity 2)  2 O 2.25
As 0.5000 0.2331 0.7259 (multiplicity 2)  2 Gd 2.83-2.89, 2 Sr 3.12
O 0.0000 0.2555 0.2804 (multiplicity 2)  2 Gd 2.25, 1 Sr 2.45


Short version: ii, i, most stable first.


## i
# GdTaAsO

A geometry-optimized GdTaAsO structure (PBE-GGA, OQMD via LeMat-Bulk).

## Properties
Crystal system: tetragonal

Cell lengths 3.9730, 3.9730, 9.0672 Å; angles 90.00, 90.00, 90.00 degrees
With the nearest neighbours (Å) after each atom.
Space group P4/nmm (No. 129, origin choice 2)
Symmetry-distinct sites (fractional):
Gd 0.2500 0.2500 0.1239 (multiplicity 2)  4 O 2.28
Ta 0.2500 0.7500 0.5000 (multiplicity 2)  4 As 2.68, 4 Ta 2.81
As 0.2500 0.2500 0.6984 (multiplicity 2)  4 Ta 2.68
O 0.2500 0.7500 0.0000 (multiplicity 2)  4 Gd 2.28


## ii
# GdTaAsO

A geometry-optimized GdTaAsO structure (PBE-GGA, OQMD via LeMat-Bulk).

## Properties
Crystal system: orthorhombic

Cell lengths 4.1508, 4.9604, 6.7554 Å; angles 90.00, 90.00, 90.00 degrees
With the nearest neighbours (Å) after each atom.
Space group Pmc2_1 (No. 26)
Symmetry-distinct sites (fractional):
Gd 0.0000 0.1818 0.0000 (multiplicity 2)  2 O 2.46-2.49
Ta 0.5000 0.3679 0.3451 (multiplicity 2)  2 O 2.08
As 0.5000 0.1400 0.6956 (multiplicity 2)  3 Ta 2.62-2.71, 4 Gd 2.93
O 0.0000 0.3723 0.3403 (multiplicity 2)  2 Ta 2.08


Short version: i, ii, most stable first.


## i
# GdTaAsO

A geometry-optimized GdTaAsO structure (PBE-GGA, OQMD via LeMat-Bulk).

## Properties
Crystal system: tetragonal

Cell lengths 4.1139, 4.1139, 7.9690 Å; angles 90.00, 90.00, 90.00 degrees
With the nearest neighbours (Å) after each atom.
Space group P4/nmm (No. 129, origin choice 2)
Symmetry-distinct sites (fractional):
Gd 0.2500 0.7500 0.0000 (multiplicity 2)  4 As 2.91, 4 Gd 2.91
Ta 0.2500 0.2500 0.3959 (multiplicity 2)  4 O 2.22
As 0.2500 0.2500 0.7424 (multiplicity 2)  1 Ta 2.76, 4 O 2.82, 4 Gd 2.91
O 0.2500 0.7500 0.5000 (multiplicity 2)  4 Ta 2.22


## ii
# GdTaAsO

A geometry-optimized GdTaAsO structure (PBE-GGA, OQMD via LeMat-Bulk).

## Properties
Crystal system: orthorhombic

Cell lengths 3.8355, 7.3342, 5.7800 Å; angles 90.00, 90.00, 90.00 degrees
With the nearest neighbours (Å) after each atom.
Space group Pmc2_1 (No. 26)
Symmetry-distinct sites (fractional):
Gd 0.0000 0.2279 0.0000 (multiplicity 2)  2 O 2.23
Ta 0.5000 0.4077 0.5086 (multiplicity 2)  2 O 2.08
As 0.0000 0.1686 0.4878 (multiplicity 2)  2 Ta 2.60, 2 Gd 2.85-2.91
O 0.5000 0.3353 0.8571 (multiplicity 2)  2 Ta 2.08, 2 Gd 2.23


Short version: ii, i, most stable first.